Density functional theory data (PBE-GGA) for a relaxed structure of SrTeAu2.

Unit cell a=4.751 b=4.751 c=10.888 alpha=77.40 beta=77.40 gamma=90.00
Atoms (fractional coordinates):
Te (0.750, 0.250, 0.500)
Au (0.037, 0.625, 0.250)
Sr (0.250, 0.750, 0.500)
Au (0.713, 0.125, 0.250)
Au (0.375, 0.287, 0.750)
Sr (0.500, 0.500, 0.000)
Te (0.000, 0.000, 0.000)
Au (0.875, 0.963, 0.750)

Results
The value obtained for the density of states at the Fermi level is 0.9011 states/eV per atom. The total magnetization comes out at 0.00 μB per formula unit. The calculated density comes out at 8.655 Mg/m³. The calculation puts the uncorrected formation energy at -484 meV/atom. As for the crystal system: tetragonal. The space-group type is No. 122.

***

Density functional theory data (PBE-GGA) for a relaxed structure of SrTeAu2.

Unit cell a=6.185 b=6.185 c=4.946 alpha=97.38 beta=97.38 gamma=43.20
Atoms (fractional coordinates):
Sr (0.250, 0.250, 0.250)
Au (0.548, 0.548, 0.375)
Te (0.750, 0.750, 0.750)
Au (0.952, 0.952, 0.125)

Results
The value obtained for the density of states at the Fermi level is 0.2576 states/eV per atom. The total magnetization comes out at 0.00 μB per formula unit. The calculated density comes out at 7.885 Mg/m³. The calculation puts the uncorrected formation energy at -583 meV/atom. As for the crystal system: monoclinic. The space-group type is No. 12.

***

Density functional theory data (PBE-GGA) for a relaxed structure of Sr2TeAu.

Unit cell a=4.105 b=5.526 c=5.526 alpha=90.00 beta=90.00 gamma=90.00
Atoms (fractional coordinates):
Sr (0.000, 0.500, 0.000)
Te (0.500, 0.500, 0.500)
Sr (0.000, 0.000, 0.500)
Au (0.500, 0.000, 0.000)

Results
The value obtained for the density of states at the Fermi level is 0.4491 states/eV per atom. The total magnetization comes out at 0.00 μB per formula unit. The calculated density comes out at 6.621 Mg/m³. The calculation puts the uncorrected formation energy at -1084 meV/atom. As for the crystal system: tetragonal. The space-group type is No. 123.

***

Density functional theory data (PBE-GGA) for a relaxed structure of Sr2TeAu.

Unit cell a=7.374 b=7.374 c=8.841 alpha=65.35 beta=65.35 gamma=90.00
Atoms (fractional coordinates):
Sr (0.634, 0.125, 0.250)
Sr (0.375, 0.366, 0.750)
Te (0.250, 0.750, 0.500)
Au (0.750, 0.250, 0.500)
Au (0.000, 0.000, 0.000)
Te (0.500, 0.500, 0.000)
Sr (0.116, 0.625, 0.250)
Sr (0.875, 0.884, 0.750)

Results
The value obtained for the density of states at the Fermi level is 0.9351 states/eV per atom. The total magnetization comes out at 0.39 μB per formula unit. The calculated density comes out at 4.276 Mg/m³. The calculation puts the uncorrected formation energy at -815 meV/atom. As for the crystal system: tetragonal. The space-group type is No. 122.

***

Density functional theory data (PBE-GGA) for a relaxed structure of SrTe3Au3.

Unit cell a=7.745 b=7.745 c=7.745 alpha=90.00 beta=90.00 gamma=90.00
Atoms (fractional coordinates):
Au (0.500, 0.000, 0.250)
Te (0.000, 0.500, 0.250)
Te (0.750, 0.000, 0.500)
Te (0.000, 0.500, 0.750)
Au (0.000, 0.250, 0.500)
Te (0.250, 0.000, 0.500)
Sr (0.500, 0.500, 0.500)
Te (0.500, 0.250, 0.000)
Au (0.000, 0.750, 0.500)
Au (0.750, 0.500, 0.000)
Sr (0.000, 0.000, 0.000)
Te (0.500, 0.750, 0.000)
Au (0.500, 0.000, 0.750)
Au (0.250, 0.500, 0.000)

Results
The value obtained for the density of states at the Fermi level is 0.1915 states/eV per atom. The total magnetization comes out at 0.00 μB per formula unit. The calculated density comes out at 7.586 Mg/m³. The calculation puts the uncorrected formation energy at -290 meV/atom. As for the crystal system: cubic. The space-group type is No. 223.

***

Density functional theory data (PBE-GGA) for a relaxed structure of Sr2TeAu.

Unit cell a=6.580 b=4.675 c=4.673 alpha=90.00 beta=90.00 gamma=90.00
Atoms (fractional coordinates):
Sr (0.500, 0.375, 0.374)
Sr (0.000, 0.875, 0.876)
Te (0.000, 0.375, 0.376)
Au (0.500, 0.875, 0.874)

Results
The value obtained for the density of states at the Fermi level is 0.5778 states/eV per atom. The total magnetization comes out at 0.00 μB per formula unit. The calculated density comes out at 5.772 Mg/m³. The calculation puts the uncorrected formation energy at -1108 meV/atom. As for the crystal system: orthorhombic. The space-group type is No. 25.

***

Density functional theory data (PBE-GGA) for a relaxed structure of Sr4Te4Au.

Unit cell a=6.890 b=9.677 c=9.677 alpha=90.00 beta=90.00 gamma=90.00
Atoms (fractional coordinates):
Sr (0.233, 0.500, 0.242)
Te (0.249, 0.245, 0.500)
Sr (0.733, 0.258, 0.000)
Sr (0.767, 0.758, 0.500)
Sr (0.267, 0.000, 0.742)
Sr (0.267, 0.000, 0.258)
Te (0.251, 0.745, 0.000)
Te (0.251, 0.255, 0.000)
Te (0.749, 0.000, 0.745)
Au (0.500, 0.500, 0.500)
Te (0.249, 0.755, 0.500)
Sr (0.767, 0.242, 0.500)
Sr (0.233, 0.500, 0.758)
Sr (0.733, 0.742, 0.000)
Te (0.749, 0.000, 0.255)
Te (0.751, 0.500, 0.245)
Te (0.751, 0.500, 0.755)
Au (0.000, 0.000, 0.000)

Results
The value obtained for the density of states at the Fermi level is 0.3505 states/eV per atom. The total magnetization comes out at 0.00 μB per formula unit. The calculated density comes out at 5.445 Mg/m³. The calculation puts the uncorrected formation energy at -1412 meV/atom. As for the crystal system: tetragonal. The space-group type is No. 137.

***

Density functional theory data (PBE-GGA) for a relaxed structure of SrTeAu2.

Unit cell a=7.124 b=7.124 c=7.124 alpha=146.80 beta=145.96 gamma=48.28
Atoms (fractional coordinates):
Te (0.253, 0.753, 0.500)
Au (0.762, 0.262, 0.500)
Sr (0.542, 0.542, 0.000)
Au (0.942, 0.942, 0.000)

Results
The value obtained for the density of states at the Fermi level is 0.1259 states/eV per atom. The total magnetization comes out at 0.00 μB per formula unit. The calculated density comes out at 9.168 Mg/m³. The calculation puts the uncorrected formation energy at -530 meV/atom. As for the crystal system: orthorhombic. The space-group type is No. 44.

***

Density functional theory data (PBE-GGA) for a relaxed structure of SrTeAu2.

Unit cell a=5.725 b=5.725 c=5.725 alpha=132.06 beta=132.55 gamma=69.75
Atoms (fractional coordinates):
Te (0.250, 0.750, 0.500)
Au (0.998, 0.998, 0.000)
Sr (0.750, 0.250, 0.500)
Au (0.502, 0.502, 0.000)

Results
The value obtained for the density of states at the Fermi level is 0.2602 states/eV per atom. The total magnetization comes out at 0.00 μB per formula unit. The calculated density comes out at 10.048 Mg/m³. The calculation puts the uncorrected formation energy at -528 meV/atom. As for the crystal system: orthorhombic. The space-group type is No. 71.

***

Density functional theory data (PBE-GGA) for a relaxed structure of Sr2TeAu.

Unit cell a=4.615 b=4.615 c=8.231 alpha=73.72 beta=73.72 gamma=60.00
Atoms (fractional coordinates):
Sr (0.255, 0.255, 0.235)
Sr (0.078, 0.078, 0.765)
Te (0.501, 0.501, 0.498)
Au (0.666, 0.666, 0.002)

Results
The value obtained for the density of states at the Fermi level is 0.4498 states/eV per atom. The total magnetization comes out at 0.00 μB per formula unit. The calculated density comes out at 5.777 Mg/m³. The calculation puts the uncorrected formation energy at -1120 meV/atom. As for the crystal system: trigonal. The space-group type is No. 160.

***

Density functional theory data (PBE-GGA) for a relaxed structure of SrTeAu2.

Unit cell a=5.252 b=5.252 c=5.252 alpha=60.00 beta=60.00 gamma=60.00
Atoms (fractional coordinates):
Sr (0.500, 0.500, 0.500)
Au (0.250, 0.250, 0.250)
Te (0.750, 0.750, 0.750)
Au (0.000, 0.000, 0.000)

Results
The value obtained for the density of states at the Fermi level is 0.2459 states/eV per atom. The total magnetization comes out at 0.00 μB per formula unit. The calculated density comes out at 9.873 Mg/m³. The calculation puts the uncorrected formation energy at -458 meV/atom. As for the crystal system: cubic. The space-group type is No. 216.

***

Density functional theory data (PBE-GGA) for a relaxed structure of SrTeAu2.

Unit cell a=4.942 b=4.214 c=5.548 alpha=90.08 beta=90.00 gamma=90.00
Atoms (fractional coordinates):
Sr (0.500, 0.250, 0.250)
Te (0.500, 0.750, 0.750)
Au (0.000, 0.750, 0.010)
Au (0.000, 0.750, 0.490)

Results
The value obtained for the density of states at the Fermi level is 0.0553 states/eV per atom. The total magnetization comes out at 0.00 μB per formula unit. The calculated density comes out at 8.754 Mg/m³. The calculation puts the uncorrected formation energy at -692 meV/atom. As for the crystal system: monoclinic. The space-group type is No. 10.